Be2CuRe | meta-GGA SCAN | PBEsol geometry

Output
Calculated total energy: -23.6755 eV per atom
Distance to the lowest polymorph of the same formula: 0 meV/atom

Geometry as POSCAR:
```
Be2CuRe
1.0
-2.901 1.353 -0.636
-1.282 -1.534 2.580
3.031 3.190 1.338
Cu Be Re
1 2 1
direct
0.500 0.500 0.000 Cu
0.000 0.000 0.000 Be
0.750 0.250 0.500 Be
0.250 0.750 0.500 Re
```